[1]
Below is ThZrNi2 after structural relaxation, with properties calculated at the GGA-PBE level.

Computed properties:
**E_tot**: -29.1 eV per cell
**Formation energy**: -399 meV per atom
**Space group**: Pm (6)
**Distance to the lowest polymorph of the same formula**: 0.00 eV per formula unit

extended XYZ file:
```
4
Lattice="3.562 0.000 -0.031 0.000 4.222 0.000 -1.759 0.000 5.141" Properties=species:S:1:pos:R:3 pbc="T T T"
Th 0.827 2.111 2.165
Zr 0.844 0.000 5.004
Ni -0.933 2.111 4.483
Ni -0.951 0.000 2.793
```

---

[2]
Below is LiNdZnCu after structural relaxation, with properties calculated at the GGA-PBE level.

Computed properties:
**E_tot**: -12.6 eV per cell
**Formation energy**: -133 meV per atom
**Space group**: F-43m (216)

extended XYZ file:
```
4
Lattice="4.836 0.000 0.000 2.418 4.188 0.000 2.418 1.396 3.949" Properties=species:S:1:pos:R:3 pbc="T T T"
Zn 7.254 4.188 2.961
Nd 0.000 0.000 0.000
Cu 2.418 1.396 0.987
Li 4.836 2.792 1.974
```

---

[3]
Below is Ac3Nd3YS8 after structural relaxation, with properties calculated at the GGA-PBE level.

Computed properties:
**E_tot**: -96.8 eV per cell
**Uncorrected formation energy**: -2.046 eV per atom
**Space group**: R-3m (166)

extended XYZ file:
```
15
Lattice="8.246 0.000 0.000 -4.123 7.141 -0.025 0.000 -4.736 6.943" Properties=species:S:1:pos:R:3 pbc="T T T"
Ac 0.000 0.000 0.000
Ac -2.061 3.571 -0.013
Ac 2.061 3.571 -0.013
Nd 4.123 -2.368 3.471
Nd 2.061 1.203 3.459
Nd -2.061 1.203 3.459
Y 0.000 -2.368 3.471
S 0.000 2.387 1.824
S 4.123 0.018 5.093
S 4.123 2.457 1.869
S 0.000 -0.052 5.049
S 6.245 -1.219 1.882
S -2.122 3.624 5.036
S 2.001 -1.219 1.882
S 2.122 3.624 5.036
```

---

[4]
Below is Na3Hg4Sb after structural relaxation, with properties calculated at the GGA-PBE level.

Computed properties:
**E_tot**: -11.1 eV per cell
**Uncorrected formation energy**: -0.231 eV per atom
**Space group**: P-1 (2)
**Distance to the lowest polymorph of the same formula**: 0.00 eV per formula unit

extended XYZ file:
```
8
Lattice="-0.950 2.610 -2.315 -0.851 -3.836 -3.959 -10.052 1.949 3.527" Properties=species:S:1:pos:R:3 pbc="T T T"
Na -2.900 1.407 -0.047
Na -8.952 -0.684 -2.700
Na -0.900 -0.613 -3.137
Hg -3.849 0.809 -3.152
Hg -8.004 -0.086 0.404
Hg -5.935 1.991 -0.948
Hg -5.917 -1.268 -1.799
Sb 0.000 0.000 0.000
```